Er2B3Ru2: optimized geometry, PBE.

- SG: C2/m, No. 12
- Energy of formation from the pure elements: -2.14 eV per formula unit
- DOS(E_F): 0.312 states/eV per atom

Structure (extended XYZ):
```
7
Lattice="-3.5281 -0.9871 -0.2444 2.7329 -1.8158 -4.5366 0.4934 -2.9882 4.9466" Properties=species:S:1:pos:R:3 pbc="T T T"
Ru 0.4656 -1.6444 -0.0795
B -1.3899 -2.0564 0.7892
Ru -0.7674 -4.1467 0.2452
B 1.0881 -3.7348 -0.6235
Er 0.6242 -2.8920 2.6692
Er -0.9261 -2.8991 -2.5035
B -1.7641 -0.4935 -0.1222
```

Er2B6Ru: optimized geometry, PBE.

- SG: Immm, No. 71
- Energy of formation from the pure elements: -3.26 eV per formula unit
- DOS(E_F): 0.308 states/eV per atom

Structure (extended XYZ):
```
9
Lattice="3.4679 0.0000 0.0000 0.0000 5.3384 0.0000 -1.7339 -2.6692 5.8099" Properties=species:S:1:pos:R:3 pbc="T T T"
B 1.7339 4.4427 0.0000
Er 1.7339 2.6692 3.9358
B 0.0000 -0.7976 4.4105
Er 0.0000 0.0000 1.8741
B 1.7339 3.4668 1.3995
B 1.7339 0.8958 0.0000
B 1.7339 1.8716 1.3995
Ru 0.0000 2.6692 0.0000
B 0.0000 0.7976 4.4105
```

ErB3Ru3: optimized geometry, PBE.

- SG: P1, No. 1
- Energy of formation from the pure elements: -1.77 eV per formula unit
- DOS(E_F): 0.480 states/eV per atom

Structure (extended XYZ):
```
28
Lattice="7.7999 -0.9129 -0.2314 -1.0482 6.5414 0.3599 -0.2453 0.3280 7.2547" Properties=species:S:1:pos:R:3 pbc="T T T"
B 5.9125 0.2313 5.1529
Ru 4.5561 1.6766 5.7798
Ru 1.4381 5.6556 5.6387
Ru 4.2421 4.6264 5.2988
Er 2.8828 3.0106 3.0649
B 3.0314 1.0188 4.5760
Er -1.1207 6.4738 4.3634
Ru 1.5273 1.7172 5.8474
B 2.4611 0.3343 3.0824
Ru 5.6368 5.8918 7.3304
B 2.4222 2.3127 0.3837
B 5.3934 3.1978 4.4721
Er 2.4629 6.1622 1.0433
B 4.9874 2.1061 0.6831
B 2.2575 3.7155 6.1159
Ru 1.1807 1.0770 1.4742
Ru 6.9003 1.8650 4.1178
Ru 5.9488 3.4685 2.1107
B -0.1085 6.3322 6.9878
B 0.9419 3.6608 4.9518
B 0.1441 2.6640 2.4427
Er -0.5089 3.7378 7.1105
Ru 6.1966 0.7485 1.5497
Ru 0.7298 4.8090 3.0795
Ru 3.8866 3.7929 0.4388
Ru 4.5747 -0.0454 3.3697
B -0.3313 5.5070 1.3711
B 4.5974 5.0978 2.1196
```

ErBRu2: optimized geometry, PBE.

- SG: R-3m, No. 166
- Energy of formation from the pure elements: -0.52 eV per formula unit
- DOS(E_F): 0.925 states/eV per atom

Structure (extended XYZ):
```
4
Lattice="3.2568 0.0000 0.0000 1.6284 2.8204 0.0000 1.6284 0.9401 6.7149" Properties=species:S:1:pos:R:3 pbc="T T T"
Ru 4.8851 2.8204 5.6447
B 0.0000 0.0000 0.0000
Ru 1.6284 0.9401 1.0702
Er 3.2568 1.8803 3.3574
```

Er2B4Ru3: optimized geometry, PBE.

- SG: Fmmm, No. 69
- Energy of formation from the pure elements: -0.87 eV per formula unit
- DOS(E_F): 0.988 states/eV per atom

Structure (extended XYZ):
```
9
Lattice="5.3599 0.0371 0.0000 -2.4582 4.7631 0.0000 -1.4509 -2.4001 4.8001" Properties=species:S:1:pos:R:3 pbc="T T T"
Er 0.0000 0.0000 3.2875
B 2.2360 -1.3517 3.2067
Er 1.4509 2.4001 1.5126
B 3.6869 1.0484 1.5934
B -2.2360 1.3517 3.2067
B -0.7852 3.7518 1.5934
Ru 2.6800 0.0185 0.0000
Ru 0.0000 0.0000 0.0000
Ru -1.2291 2.3816 0.0000
```

ErB2Ru: optimized geometry, PBE.

- SG: Pnma, No. 62
- Energy of formation from the pure elements: -2.55 eV per formula unit
- DOS(E_F): 0.722 states/eV per atom

Structure (extended XYZ):
```
16
Lattice="-1.9522 -4.8238 0.9769 5.4311 -2.2432 -0.2232 0.6652 0.9912 6.2244" Properties=species:S:1:pos:R:3 pbc="T T T"
B 0.2166 -2.1606 6.5343
Er 1.3006 -4.5520 1.6452
B 2.1418 -0.7737 2.8810
Ru 3.4307 -2.4214 2.0737
B 1.4951 -2.3716 3.2046
Er 0.0137 -0.5724 4.3756
B 4.5742 -2.3172 0.1201
Ru 0.6242 -1.4354 1.3338
B 2.0023 -5.3021 4.0970
Er 4.1304 -5.5034 2.6024
B -0.4301 -3.7586 6.8579
Ru 0.7133 -3.6544 4.9043
B 3.9275 -3.9151 0.4437
B 2.6490 -3.7041 3.7734
Ru 3.5199 -4.6403 5.6442
Er 2.8435 -1.5238 5.3328
```

Er3Si2BRu3: optimized geometry, PBE.

- SG: P-62m, No. 189
- DOS(E_F): 0.299 states/eV per atom

Structure (extended XYZ):
```
9
Lattice="-1.4820 -2.0649 2.4131 4.2844 -5.2320 -1.8459 1.9193 4.4946 5.0250" Properties=species:S:1:pos:R:3 pbc="T T T"
Si 2.7550 -3.0222 1.6510
Er 0.7290 1.7071 1.9085
Er 1.6272 -1.9871 -0.7011
Er 3.8476 -0.4573 1.9717
Si 1.9667 0.2200 3.9413
Ru 0.7306 2.4136 5.0593
Ru 2.5439 -5.0439 -0.2087
Ru 0.7062 -1.2045 1.9482
B 0.0000 0.0000 0.0000
```

Er2SiB2Ru5: optimized geometry, PBE.

- SG: P4/mbm, No. 127
- DOS(E_F): 0.853 states/eV per atom

Structure (extended XYZ):
```
20
Lattice="-0.8977 -2.9393 0.0520 8.8940 -2.7472 -1.7412 1.7115 -0.3582 9.3073" Properties=species:S:1:pos:R:3 pbc="T T T"
Ru 0.4069 -1.6487 4.6796
B 3.5575 -1.0777 0.4977
Si 5.3028 -1.5527 3.7830
Er 8.4868 -2.5062 4.8552
Ru 6.6237 -3.5805 2.8092
Si 0.0000 0.0000 0.0000
Ru 8.2054 -4.1066 0.3761
Er 2.1187 -0.5992 2.7109
Ru 8.1549 -3.9682 7.3306
B 2.1692 -0.5637 5.5907
B 7.0480 -2.0276 7.0683
Er 6.3119 -1.9196 0.4598
Er 4.2936 -1.1857 7.1063
Ru 5.8194 -3.2844 5.6644
Ru 3.8884 -2.7602 1.9536
Ru 1.5529 -2.0764 0.2875
B 8.4363 -2.5417 1.9754
Ru 3.9982 -2.8432 -0.8446
Ru 3.0841 -2.4641 4.8089
Ru 1.5024 -1.9380 7.2419
```

ErSiBRu2: optimized geometry, PBE.

- SG: Cmcm, No. 63
- DOS(E_F): 1.034 states/eV per atom

Structure (extended XYZ):
```
10
Lattice="-1.0567 -3.6864 -0.6245 3.9477 0.1734 4.3834 -5.3033 0.7158 4.7478" Properties=species:S:1:pos:R:3 pbc="T T T"
B 0.0000 0.0000 0.0000
Si -2.9361 -2.0729 5.1176
Ru -1.8051 -0.1664 4.0368
Ru -3.8288 0.1067 5.8484
Ru -0.6072 -2.6307 4.4699
Ru 1.4165 -2.9039 2.6583
Er -1.5185 -1.8281 1.2743
B -2.6517 0.3579 2.3739
Si 0.5238 -0.7243 3.3892
Er -0.8938 -0.9690 7.2324
```

Er2Si2BRu2: optimized geometry, PBE.

- SG: C2/m, No. 12
- DOS(E_F): 0.365 states/eV per atom

Structure (extended XYZ):
```
7
Lattice="-3.7895 0.4058 1.5986 -1.5974 -4.8955 2.7982 0.2424 1.0717 5.6449" Properties=species:S:1:pos:R:3 pbc="T T T"
Ru -3.4592 -1.1172 2.7681
Ru -1.6853 -2.3007 7.2736
Er -2.2455 0.1438 5.3251
B 0.0000 0.0000 0.0000
Er -2.8990 -3.5617 4.7166
Si -4.0044 -1.8409 7.0018
Si -1.1401 -1.5770 3.0399
```

Er2SnB2Ru5: optimized geometry, PBE.

- SG: P4/mbm, No. 127
- Energy of formation from the pure elements: -5.01 eV per formula unit
- DOS(E_F): 0.888 states/eV per atom

Structure (extended XYZ):
```
20
Lattice="3.1368 0.0000 0.0000 0.0000 9.7102 0.0000 0.0000 0.0000 9.7102" Properties=species:S:1:pos:R:3 pbc="T T T"
Er 0.0000 1.7152 3.1398
Er 0.0000 6.5703 1.7152
Ru 1.5684 2.1768 0.6744
Ru 1.5684 4.1807 2.6783
Sn 0.0000 0.0000 0.0000
Sn 0.0000 4.8551 4.8551
Ru 1.5684 0.6744 7.5334
B 0.0000 8.5299 3.6748
Ru 1.5684 5.5295 7.0319
B 0.0000 3.6748 1.1803
Ru 1.5684 2.6783 5.5295
Ru 1.5684 0.0000 4.8551
Er 0.0000 7.9949 6.5703
Ru 1.5684 4.8551 0.0000
Ru 1.5684 9.0358 2.1768
B 0.0000 1.1803 6.0354
Er 0.0000 3.1398 7.9949
Ru 1.5684 7.5334 9.0358
Ru 1.5684 7.0319 4.1807
B 0.0000 6.0354 8.5299
```

Er2TaB2Ru5: optimized geometry, PBE.

- SG: P4/mbm, No. 127
- Energy of formation from the pure elements: -5.48 eV per formula unit
- DOS(E_F): 0.596 states/eV per atom

Structure (extended XYZ):
```
20
Lattice="-2.3171 2.0817 0.1534 -5.8950 -6.2362 -4.4170 -2.6416 -3.5717 8.5683" Properties=species:S:1:pos:R:3 pbc="T T T"
Er -1.8903 -2.2523 2.0110
Er -6.6463 -7.5556 2.1404
Ru -6.5225 -4.9668 0.5810
Ru -4.3312 -2.7594 3.7238
Ru -2.6301 -0.5711 -0.2754
Ru -6.4215 -5.0845 3.7037
Er -4.0947 -4.9729 5.6331
Ru -4.1061 -2.0773 -2.1318
Ru -2.4793 -0.7450 4.3609
B -2.5554 -2.7970 -0.6434
Er -4.4419 -4.8351 -1.4818
Ta 0.0000 0.0000 0.0000
B -5.9812 -7.0110 4.7948
Ta -4.2683 -4.9040 2.0757
Ru -8.2236 -7.1551 4.5801
Ru -3.6444 -2.1969 6.4651
Ru -4.4322 -2.6417 0.6010
B -2.3497 -2.9680 4.7845
B -6.1869 -6.8399 -0.6332
Ru -7.2093 -5.5293 -2.1604
```

Er2TiB2Ru5: optimized geometry, PBE.

- SG: P4/mbm, No. 127
- Energy of formation from the pure elements: -5.44 eV per formula unit
- DOS(E_F): 0.721 states/eV per atom

Structure (extended XYZ):
```
20
Lattice="-1.0319 1.6754 -2.4068 -1.0786 -8.0253 -5.1240 -8.9746 -0.8658 3.2452" Properties=species:S:1:pos:R:3 pbc="T T T"
Ru -5.9396 -1.9324 -0.8062
Ru -5.1455 -5.2834 -3.4794
Ru -1.0552 -3.1750 -3.7654
Ru -7.5600 -4.3590 -1.8006
Ti 0.0000 0.0000 0.0000
Er -3.1027 -1.6884 0.1550
Er -2.3021 -5.5718 -2.8915
Ru -5.0033 0.4048 0.4192
B -5.7225 -1.5254 1.3918
Er -7.7510 -3.3194 1.0126
Er -6.9505 -7.2028 -2.0338
Ru -1.3797 -0.9594 -2.0840
Ru -3.4605 -6.8112 -5.2654
Ru -7.6246 -0.4046 0.9798
B -1.5094 -3.1330 -1.5337
Ru -3.5251 -2.8568 -2.4850
B -8.5437 -5.7582 -0.3451
B -4.3307 -7.3658 -3.2706
Ru -9.7054 -6.2563 -2.2016
Ti -5.0266 -4.4456 -0.9394
```

Er3Zn2BRu3: optimized geometry, PBE.

- SG: P-62m, No. 189
- Energy of formation from the pure elements: -3.35 eV per formula unit
- DOS(E_F): 0.734 states/eV per atom

Structure (extended XYZ):
```
9
Lattice="3.4099 0.0000 0.0000 0.0000 7.2078 0.0000 0.0000 -3.6039 6.2421" Properties=species:S:1:pos:R:3 pbc="T T T"
Er 0.0000 2.2981 3.9804
Ru 1.7050 5.5507 0.0000
Ru 1.7050 0.8285 1.4350
Er 0.0000 2.6116 0.0000
B 0.0000 0.0000 0.0000
Zn 1.7050 3.6039 2.0807
Ru 1.7050 -2.7754 4.8071
Zn 1.7050 0.0000 4.1614
Er 0.0000 -1.3058 2.2617
```

Er2ZrB2Ru5: optimized geometry, PBE.

- SG: P4/mbm, No. 127
- Energy of formation from the pure elements: -5.19 eV per formula unit
- DOS(E_F): 0.768 states/eV per atom

Structure (extended XYZ):
```
20
Lattice="3.1591 0.0000 0.0000 0.0000 9.7263 0.0000 0.0000 0.0000 9.7263" Properties=species:S:1:pos:R:3 pbc="T T T"
Zr 0.0000 0.0000 0.0000
Er 0.0000 3.1583 8.0215
Ru 1.5796 0.6955 7.5599
B 0.0000 1.1758 6.0389
Er 0.0000 1.7048 3.1583
B 0.0000 3.6873 1.1758
Ru 1.5796 7.5599 9.0308
Ru 1.5796 7.0295 4.1676
B 0.0000 6.0389 8.5504
Zr 0.0000 4.8631 4.8631
Ru 1.5796 4.8631 0.0000
B 0.0000 8.5504 3.6873
Ru 1.5796 2.6968 5.5586
Ru 1.5796 4.1676 2.6968
Er 0.0000 8.0215 6.5679
Ru 1.5796 5.5586 7.0295
Er 0.0000 6.5679 1.7048
Ru 1.5796 2.1663 0.6955
Ru 1.5796 0.0000 4.8631
Ru 1.5796 9.0308 2.1663
```

Er9B5S21: optimized geometry, PBE.

- SG: R3, No. 146

Structure (extended XYZ):
```
70
Lattice="11.1098 0.1177 0.1325 -1.0546 11.0602 0.1325 -1.0546 -1.1724 10.9987" Properties=species:S:1:pos:R:3 pbc="T T T"
S 5.2192 3.7289 3.0117
B 3.8249 0.0701 8.5056
S -1.6353 7.1575 10.0298
S 4.4317 -0.8708 10.0851
S 3.1577 2.3325 5.8994
Er 1.1714 4.1212 6.1803
B 9.3157 2.4075 6.6058
Er 7.0933 0.0190 9.6672
S 2.1173 3.3664 1.0689
S 7.8264 7.1168 6.8698
S 8.6278 3.7080 2.6286
S -1.3333 9.5061 5.4740
Er -0.1823 1.6253 9.3602
S 6.9093 6.2097 1.7136
Er 2.8169 7.8882 5.9462
S 6.0991 4.0802 6.2550
B 0.2713 0.3016 0.3396
S 1.7276 10.0205 7.4196
S 7.2900 10.0626 0.3171
S 9.5408 4.2395 5.9846
S -0.8951 10.1874 1.8674
S 8.2855 1.3323 5.3453
S 4.2484 8.7825 1.9531
S 1.9865 5.4591 4.0580
S 2.7774 1.5527 9.2181
Er 8.9483 5.1873 8.6203
B 5.2585 9.9256 3.1695
S 9.2377 -0.6648 8.2900
S 5.9699 2.3704 10.8253
Er 1.7854 0.2330 5.0418
S 7.0709 9.3071 3.4943
B 4.7741 5.3071 5.9745
S 3.1243 0.7714 2.5693
Er 1.6354 9.2961 1.0936
Er -0.7292 8.7680 8.1462
S 5.1241 8.4137 7.8770
B 1.8657 2.0741 2.3348
Er 5.4963 1.7609 4.8211
Er 7.5472 5.4765 4.3087
Er 4.6500 3.3258 8.5342
S 1.6138 7.2817 9.6542
S 6.2517 5.8158 9.2837
S 3.2097 4.7716 10.5709
S 0.0346 1.6533 6.7153
B 7.9876 4.6935 1.0724
S 9.7824 7.0408 3.6300
Er 8.7960 8.0659 1.1585
Er 9.0718 0.7787 2.7174
S 5.4464 0.8145 7.6752
S 1.2512 8.8089 3.9920
B 6.3760 7.0879 7.9791
S 10.2250 1.8327 0.4031
S 4.4065 10.0616 4.9155
S 9.5937 5.4740 0.3242
S 5.0552 6.6694 4.7892
S 1.6404 6.6438 0.9990
B -0.3336 7.9971 4.7872
S 0.7442 -0.8212 10.3365
S 0.4376 2.1755 3.4689
Er 3.9747 5.9486 2.3170
S 6.4338 0.7171 2.4334
S 0.4511 4.3201 8.9515
Er 4.2147 7.4467 10.3958
Er 6.9607 9.7366 6.1674
Er 4.7631 2.3005 0.8258
S 0.2356 6.9731 6.3684
B 1.4117 5.4377 10.2300
Er 0.0434 4.7944 2.3818
S 3.4143 5.4457 7.1875
S 8.5095 2.5253 8.3690
```

Er6BS5: optimized geometry, PBE.

- SG: C2/m, No. 12
- DOS(E_F): 0.367 states/eV per atom

Structure (extended XYZ):
```
12
Lattice="-1.5781 4.9915 -4.1746 -3.1687 4.8207 3.3921 3.4896 4.9546 2.8201" Properties=species:S:1:pos:R:3 pbc="T T T"
B 0.0000 0.0000 0.0000
Er -3.6412 7.5211 -0.5874
S 0.9552 6.5752 0.3462
S 0.2194 6.5196 4.1427
S -2.2124 8.1917 1.6915
Er -1.2223 5.6551 1.9738
Er -1.1056 2.2911 -0.1952
S 0.1015 3.2557 2.0695
S -2.3734 4.9061 -0.3913
Er -0.3710 5.7384 -2.0577
Er -0.8862 9.0284 4.0953
Er -0.0349 9.1118 0.0638
```

no.,VASP energy (hartree per atom)
1,-0.2617
2,-0.2520
3,-0.2845
4,-0.2785
5,-0.2635
6,-0.2733
7,-0.2640
8,-0.2943
9,-0.2818
10,-0.2676
11,-0.2862
12,-0.3168
13,-0.3021
14,-0.2209
15,-0.3035
16,-0.2223
17,-0.2326